Crystalline Sc3W at its relaxed geometry, computed with PBE.

Structure (CIF):
```
data_Sc3W
_chemical_formula_sum 'Sc3 W1'
_symmetry_space_group_name_H-M 'P -6 m 2'
_symmetry_Int_Tables_number 187
_symmetry_space_group_name_Hall 'P -6 2'
_cell_length_a 3.0940
_cell_length_b 3.0940
_cell_length_c 10.1881
_cell_angle_alpha 90.00
_cell_angle_beta 90.00
_cell_angle_gamma 120.00
loop_
_atom_site_label
_atom_site_fract_x
_atom_site_fract_y
_atom_site_fract_z
Sc1 0.0000 0.0000 0.0000
Sc2 0.6667 0.3333 0.2694
W1 0.0000 0.0000 0.5000
```

calculated formation energy	276	meV per atom
magnetization	0.77	μB per cell

Crystalline ScW3 at its relaxed geometry, computed with PBE.

Structure (CIF):
```
data_ScW3
_chemical_formula_sum 'Sc1 W3'
_symmetry_space_group_name_H-M 'P m m 2'
_symmetry_Int_Tables_number 25
_cell_length_a 2.668
_cell_length_b 4.749
_cell_length_c 5.441
_cell_angle_alpha 90.00
_cell_angle_beta 90.00
_cell_angle_gamma 90.00
loop_
_symmetry_equiv_pos_as_xyz
'x,y,z'
'-x,-y,z'
'-x,y,z'
'x,-y,z'
loop_
_atom_site_label
_atom_site_fract_x
_atom_site_fract_y
_atom_site_fract_z
Sc1 0.000 0.000 0.000
W1 0.000 0.500 0.284
W2 0.500 0.000 0.506
W3 0.500 0.500 0.779
```

calculated formation energy	426	meV per atom
magnetization	0.00	μB per cell

Crystalline ScW2 at its relaxed geometry, computed with PBE.

Structure (CIF):
```
data_ScW2
_chemical_formula_sum 'Sc4 W8'
_symmetry_space_group_name_H-M 'C 1 2/m 1'
_symmetry_Int_Tables_number 12
_cell_length_a 10.472
_cell_length_b 2.766
_cell_length_c 7.799
_cell_angle_alpha 90.00
_cell_angle_beta 107.17
_cell_angle_gamma 90.00
loop_
_symmetry_equiv_pos_as_xyz
'x,y,z'
'-x,-y,-z'
'-x,y,-z'
'x,-y,z'
'x+1/2,y+1/2,z'
'-x+1/2,-y+1/2,-z'
'-x+1/2,y+1/2,-z'
'x+1/2,-y+1/2,z'
loop_
_atom_site_label
_atom_site_fract_x
_atom_site_fract_y
_atom_site_fract_z
Sc1 0.004 0.000 0.304
W1 0.138 0.500 0.034
W2 0.227 0.500 0.649
```

calculated formation energy	422	meV per atom
magnetization	0.00	μB per cell

Crystalline ScW at its relaxed geometry, computed with PBE.

Structure (CIF):
```
data_ScW
_chemical_formula_sum 'Sc4 W4'
_symmetry_space_group_name_H-M 'I m m a'
_symmetry_Int_Tables_number 74
_symmetry_space_group_name_Hall '-I 2b 2'
_cell_length_a 3.372
_cell_length_b 4.802
_cell_length_c 9.593
_cell_angle_alpha 90.00
_cell_angle_beta 90.00
_cell_angle_gamma 90.00
loop_
_atom_site_label
_atom_site_fract_x
_atom_site_fract_y
_atom_site_fract_z
Sc1 0.000 0.250 0.113
W1 0.000 0.250 0.653
```

calculated formation energy	187	meV per atom
magnetization	0.00	μB per cell

Crystalline Sc5W at its relaxed geometry, computed with PBE.

Structure (CIF):
```
data_Sc5W
_chemical_formula_sum 'Sc5 W1'
_symmetry_space_group_name_H-M 'P 6/m m m'
_symmetry_Int_Tables_number 191
_symmetry_space_group_name_Hall '-P 6 2'
_cell_length_a 5.4614
_cell_length_b 5.4614
_cell_length_c 5.3229
_cell_angle_alpha 90.00
_cell_angle_beta 90.00
_cell_angle_gamma 120.00
loop_
_atom_site_label
_atom_site_fract_x
_atom_site_fract_y
_atom_site_fract_z
Sc1 0.0000 0.5000 0.0000
Sc2 0.3333 0.6667 0.5000
W1 0.0000 0.0000 0.5000
```

calculated formation energy	820	meV per atom
magnetization	0.87	μB per cell

Crystalline ScW2 at its relaxed geometry, computed with PBE.

Structure (CIF):
```
data_ScW2
_chemical_formula_sum 'Sc1 W2'
_symmetry_space_group_name_H-M 'P -3 m 1'
_symmetry_Int_Tables_number 164
_symmetry_space_group_name_Hall '-P 3 2"'
_cell_length_a 4.6126
_cell_length_b 4.6126
_cell_length_c 2.8262
_cell_angle_alpha 90.00
_cell_angle_beta 90.00
_cell_angle_gamma 120.00
loop_
_atom_site_label
_atom_site_fract_x
_atom_site_fract_y
_atom_site_fract_z
Sc1 0.0000 0.0000 0.0000
W1 0.3333 0.6667 0.3688
```

calculated formation energy	140	meV per atom
magnetization	0.00	μB per cell

Crystalline ScW2 at its relaxed geometry, computed with PBE.

Structure (CIF):
```
data_ScW2
_chemical_formula_sum 'Sc4 W8'
_symmetry_space_group_name_H-M 'C 1 m 1'
_symmetry_Int_Tables_number 8
_cell_length_a 10.720
_cell_length_b 2.710
_cell_length_c 7.593
_cell_angle_alpha 90.00
_cell_angle_beta 105.88
_cell_angle_gamma 90.00
loop_
_symmetry_equiv_pos_as_xyz
'x,y,z'
'x,-y,z'
'x+1/2,y+1/2,z'
'x+1/2,-y+1/2,z'
loop_
_atom_site_label
_atom_site_fract_x
_atom_site_fract_y
_atom_site_fract_z
Sc1 0.000 0.000 0.000
Sc2 0.173 0.500 0.354
W1 0.056 0.000 0.642
W2 0.240 0.500 0.982
W3 0.319 0.000 0.675
W4 0.403 0.000 0.307
```

calculated formation energy	439	meV per atom
magnetization	0.00	μB per cell

Crystalline Sc3W4 at its relaxed geometry, computed with PBE.

Structure (CIF):
```
data_Sc3W4
_chemical_formula_sum 'Sc6 W8'
_symmetry_space_group_name_H-M 'I 4/m m m'
_symmetry_Int_Tables_number 139
_symmetry_space_group_name_Hall '-I 4 2'
_cell_length_a 3.243
_cell_length_b 3.243
_cell_length_c 25.324
_cell_angle_alpha 90.00
_cell_angle_beta 90.00
_cell_angle_gamma 90.00
loop_
_atom_site_label
_atom_site_fract_x
_atom_site_fract_y
_atom_site_fract_z
Sc1 0.000 0.000 0.000
Sc2 0.000 0.000 0.301
W1 0.000 0.000 0.129
W2 0.000 0.000 0.425
```

calculated formation energy	133	meV per atom
magnetization	0.00	μB per cell

Copy entry 6 word for word.
Crystalline ScW2 at its relaxed geometry, computed with PBE.

Structure (CIF):
```
data_ScW2
_chemical_formula_sum 'Sc1 W2'
_symmetry_space_group_name_H-M 'P -3 m 1'
_symmetry_Int_Tables_number 164
_symmetry_space_group_name_Hall '-P 3 2"'
_cell_length_a 4.6126
_cell_length_b 4.6126
_cell_length_c 2.8262
_cell_angle_alpha 90.00
_cell_angle_beta 90.00
_cell_angle_gamma 120.00
loop_
_atom_site_label
_atom_site_fract_x
_atom_site_fract_y
_atom_site_fract_z
Sc1 0.0000 0.0000 0.0000
W1 0.3333 0.6667 0.3688
```

calculated formation energy	140	meV per atom
magnetization	0.00	μB per cell

Question: The highest calculated formation energy belongs to which entry?
Answer: Sc5W